The following is a DFT calculation (GGA-PBE) of a geometry-optimized Nd6SBr3N2 structure.

Properties
Space-group type: C2/m (12)
Uncorrected formation energy (kJ per mole of atoms): -138
Total moment (μB per formula unit): 0.000
Final energy (eV per atom): -5.97

Unit cell a=6.711 b=6.711 c=7.633 alpha=98.44 beta=98.44 gamma=119.97
Positions (direct):
Nd 0.082 0.439 0.816
Nd 0.205 0.205 0.183
Nd 0.439 0.082 0.816
Nd 0.561 0.918 0.184
Nd 0.795 0.795 0.817
Nd 0.918 0.561 0.184
S 0.500 0.500 0.000
Br 0.000 0.000 0.500
Br 0.337 0.663 0.500
Br 0.663 0.337 0.500
N 0.167 0.833 0.000
N 0.833 0.167 0.000

The following is a DFT calculation (GGA-PBE) of a geometry-optimized Nd6S2BrN3 structure.

Properties
Space-group type: C2/m (12)
Uncorrected formation energy (kJ per mole of atoms): -154
Total moment (μB per formula unit): 0.000
Final energy (eV per atom): -6.89

Unit cell a=8.881 b=8.881 c=8.048 alpha=107.91 beta=107.91 gamma=24.54
Positions (direct):
Nd 0.012 0.012 0.213
Nd 0.319 0.319 0.439
Nd 0.340 0.340 0.896
Nd 0.660 0.660 0.104
Nd 0.681 0.681 0.561
Nd 0.988 0.988 0.787
S 0.163 0.163 0.826
S 0.837 0.837 0.174
Br 0.500 0.500 0.500
N 0.168 0.168 0.331
N 0.500 0.500 0.000
N 0.832 0.832 0.669

The following is a DFT calculation (GGA-PBE) of a geometry-optimized Nd6S4BrN3 structure.

Properties
Space-group type: Pnma (62)
Uncorrected formation energy (kJ per mole of atoms): -177
Total moment (μB per formula unit): 0.000
Final energy (eV per atom): -6.96

Unit cell a=11.535 b=4.030 c=27.382 alpha=90.00 beta=90.00 gamma=90.00
Positions (direct):
Nd 0.058 0.250 0.078
Nd 0.063 0.250 0.807
Nd 0.099 0.250 0.535
Nd 0.124 0.250 0.283
Nd 0.243 0.750 0.171
Nd 0.248 0.750 0.436
Nd 0.252 0.250 0.936
Nd 0.257 0.250 0.671
Nd 0.376 0.750 0.783
Nd 0.401 0.750 0.035
Nd 0.437 0.750 0.307
Nd 0.442 0.750 0.578
Nd 0.558 0.250 0.422
Nd 0.563 0.250 0.693
Nd 0.599 0.250 0.965
Nd 0.624 0.250 0.217
Nd 0.743 0.750 0.329
Nd 0.748 0.750 0.064
Nd 0.752 0.250 0.564
Nd 0.757 0.250 0.829
Nd 0.876 0.750 0.717
Nd 0.901 0.750 0.465
Nd 0.937 0.750 0.193
Nd 0.942 0.750 0.922
S 0.137 0.750 0.735
S 0.143 0.750 0.994
S 0.191 0.750 0.862
S 0.207 0.750 0.602
S 0.293 0.250 0.102
S 0.309 0.250 0.362
S 0.357 0.250 0.494
S 0.363 0.250 0.235
S 0.637 0.750 0.765
S 0.643 0.750 0.506
S 0.691 0.750 0.638
S 0.707 0.750 0.898
S 0.793 0.250 0.398
S 0.809 0.250 0.138
S 0.857 0.250 0.006
S 0.863 0.250 0.265
Br 0.039 0.750 0.363
Br 0.461 0.250 0.863
Br 0.539 0.750 0.137
Br 0.961 0.250 0.637
N 0.061 0.750 0.125
N 0.098 0.750 0.486
N 0.112 0.750 0.238
N 0.388 0.250 0.738
N 0.402 0.250 0.986
N 0.439 0.250 0.625
N 0.561 0.750 0.375
N 0.598 0.750 0.014
N 0.612 0.750 0.262
N 0.888 0.250 0.762
N 0.902 0.250 0.514
N 0.939 0.250 0.875

The following is a DFT calculation (GGA-PBE) of a geometry-optimized Nd2ScBr2N2 structure.

Properties
Space-group type: I4/mmm (139)
Uncorrected formation energy (kJ per mole of atoms): -148
Total moment (μB per formula unit): 0.985
Final energy (eV per atom): -6.66

Unit cell a=9.219 b=9.219 c=9.219 alpha=153.27 beta=153.27 gamma=38.17
Positions (direct):
Nd 0.085 0.085 0.000
Nd 0.915 0.915 0.000
Sc 0.500 0.500 0.000
Br 0.333 0.333 0.000
Br 0.667 0.667 0.000
N 0.000 0.500 0.500
N 0.500 0.000 0.500

The following is a DFT calculation (GGA-PBE) of a geometry-optimized Nd3SeBrN2 structure.

Properties
Space-group type: Pnma (62)
Uncorrected formation energy (kJ per mole of atoms): -152
Total moment (μB per formula unit): 0.000
Final energy (eV per atom): -6.74

Unit cell a=13.352 b=4.132 c=12.824 alpha=90.00 beta=90.00 gamma=90.00
Positions (direct):
Nd 0.021 0.250 0.113
Nd 0.087 0.750 0.613
Nd 0.195 0.250 0.844
Nd 0.305 0.750 0.344
Nd 0.413 0.250 0.113
Nd 0.479 0.750 0.613
Nd 0.521 0.250 0.387
Nd 0.587 0.750 0.887
Nd 0.695 0.250 0.656
Nd 0.805 0.750 0.156
Nd 0.913 0.250 0.387
Nd 0.979 0.750 0.887
Se 0.066 0.750 0.357
Se 0.434 0.250 0.857
Se 0.566 0.750 0.143
Se 0.934 0.250 0.643
Br 0.246 0.750 0.062
Br 0.254 0.250 0.562
Br 0.746 0.750 0.438
Br 0.754 0.250 0.938
N 0.053 0.250 0.934
N 0.140 0.750 0.774
N 0.360 0.250 0.274
N 0.447 0.750 0.434
N 0.553 0.250 0.566
N 0.640 0.750 0.726
N 0.860 0.250 0.226
N 0.947 0.750 0.066

The following is a DFT calculation (GGA-PBE) of a geometry-optimized Nd4SiBr2N structure.

Properties
Space-group type: P2/m (10)
Uncorrected formation energy (kJ per mole of atoms): -115
Total moment (μB per formula unit): 0.000
Final energy (eV per atom): -5.72

Unit cell a=6.947 b=3.982 c=7.829 alpha=90.00 beta=107.69 gamma=90.00
Positions (direct):
Nd 0.206 0.000 0.187
Nd 0.231 0.500 0.807
Nd 0.769 0.500 0.193
Nd 0.794 0.000 0.813
Si 0.500 0.000 0.000
Br 0.000 0.000 0.500
Br 0.500 0.500 0.500
N 0.000 0.500 0.000

The following is a DFT calculation (GGA-PBE) of a geometry-optimized Nd6Si2Br3N structure.

Properties
Space-group type: C2/m (12)
Uncorrected formation energy (kJ per mole of atoms): -111
Total moment (μB per formula unit): 0.000
Final energy (eV per atom): -5.55

Unit cell a=7.057 b=7.057 c=7.821 alpha=98.66 beta=98.66 gamma=119.93
Positions (direct):
Nd 0.065 0.370 0.195
Nd 0.239 0.239 0.804
Nd 0.370 0.065 0.195
Nd 0.630 0.935 0.805
Nd 0.761 0.761 0.196
Nd 0.935 0.630 0.805
Si 0.334 0.666 0.000
Si 0.666 0.334 0.000
Br 0.172 0.828 0.500
Br 0.500 0.500 0.500
Br 0.828 0.172 0.500
N 0.000 0.000 0.000

The following is a DFT calculation (GGA-PBE) of a geometry-optimized Nd2SmBr2N2 structure.

Properties
Space-group type: I4/mmm (139)
Uncorrected formation energy (kJ per mole of atoms): -119
Total moment (μB per formula unit): 0.950
Final energy (eV per atom): -6.12

Unit cell a=8.762 b=8.762 c=8.762 alpha=149.58 beta=149.58 gamma=43.55
Positions (direct):
Nd 0.091 0.091 0.000
Nd 0.909 0.909 0.000
Sm 0.500 0.500 0.000
Br 0.317 0.317 0.000
Br 0.683 0.683 0.000
N 0.000 0.500 0.500
N 0.500 0.000 0.500

The following is a DFT calculation (GGA-PBE) of a geometry-optimized TbNdBrN structure.

Properties
Space-group type: R3m (160)
Uncorrected formation energy (kJ per mole of atoms): -137
Total moment (μB per formula unit): 0.000
Final energy (eV per atom): -6.27

Unit cell a=7.589 b=7.589 c=7.589 alpha=27.93 beta=27.93 gamma=27.93
Positions (direct):
Tb 0.000 0.000 0.000
Nd 0.213 0.213 0.213
Br 0.436 0.436 0.436
N 0.619 0.619 0.619

The following is a DFT calculation (GGA-PBE) of a geometry-optimized Nd2TmBr2N2 structure.

Properties
Space-group type: I4/mmm (139)
Uncorrected formation energy (kJ per mole of atoms): -137
Total moment (μB per formula unit): 0.983
Final energy (eV per atom): -6.28

Unit cell a=9.034 b=9.034 c=9.034 alpha=151.58 beta=151.58 gamma=40.62
Positions (direct):
Nd 0.087 0.087 0.000
Nd 0.913 0.913 0.000
Tm 0.500 0.500 0.000
Br 0.328 0.328 0.000
Br 0.672 0.672 0.000
N 0.000 0.500 0.500
N 0.500 0.000 0.500

The following is a DFT calculation (GGA-PBE) of a geometry-optimized Nd2YBr2N2 structure.

Properties
Space-group type: I4/mmm (139)
Uncorrected formation energy (kJ per mole of atoms): -131
Total moment (μB per formula unit): 0.975
Final energy (eV per atom): -6.50

Unit cell a=8.925 b=8.925 c=8.925 alpha=150.85 beta=150.85 gamma=41.69
Positions (direct):
Nd 0.089 0.089 0.000
Nd 0.911 0.911 0.000
Y 0.500 0.500 0.000
Br 0.323 0.323 0.000
Br 0.677 0.677 0.000
N 0.000 0.500 0.500
N 0.500 0.000 0.500

The following is a DFT calculation (GGA-PBE) of a geometry-optimized NiBrN2 structure.

Properties
Space-group type: I-42d (122)
Distance to the lowest polymorph of the same formula (meV per atom): 330
Uncorrected formation energy (kJ per mole of atoms): 126
Total moment (μB per formula unit): 0.000
Final energy (eV per atom): -4.72

Unit cell a=5.513 b=5.513 c=5.513 alpha=123.36 beta=123.36 gamma=84.27
Positions (direct):
Ni 0.000 0.000 0.000
Ni 0.750 0.250 0.500
Br 0.250 0.750 0.500
Br 0.500 0.500 0.000
N 0.010 0.625 0.885
N 0.375 0.260 0.385
N 0.740 0.125 0.115
N 0.875 0.990 0.615